Density functional theory data (GGA+U) for a relaxed structure of ZrFeO3.

## Properties
E = -8.3315 eV/atom
Fermi-level density of states = 0.000 states/eV per atom

Cell and atoms, written as POSCAR:
```
ZrFeO3
1.0
-2.8830 -0.0787 4.9768
-4.6424 0.4813 -2.6817
3.3005 -4.1768 -1.0610
Zr Fe O
2 2 6
Cartesian
1.5886 -2.1965 -0.4572
-2.1620 -1.9964 0.6974
-3.6602 -0.3265 3.5707
-4.5349 -0.0471 -0.2557
-4.8948 0.2175 2.0124
-4.1996 -2.1755 0.5556
-1.9292 -1.2941 2.6419
-0.0876 -1.2963 0.3846
-2.5099 0.1590 0.0689
-1.9661 -2.2183 -1.4753
```